1.
{
  "formula": "YB3Os",
  "functional": "PBE",
  "state": "relaxed",
  "cell": [[4.178, 0.000, 0.000], [0.000, 4.178, 0.000], [0.000, 0.000, 4.178]],
  "species": ["Os", "Y", "B", "B", "B"],
  "frac_coords": [[0.500, 0.500, 0.500], [0.000, 0.000, 0.000], [0.000, 0.000, 0.500], [0.000, 0.500, 0.000], [0.500, 0.000, 0.000]],
  "e_form_kj_per_mol_atoms": 277,
  "e_above_lowest_polymorph_ev_per_atom": 2.967
}


2.
{
  "formula": "Y3B9Os2",
  "functional": "PBE",
  "state": "relaxed",
  "cell": [[3.159, 0.000, 0.000], [1.580, 7.760, 1.083], [1.580, 2.814, 7.312]],
  "species": ["B", "B", "B", "B", "B", "B", "B", "B", "B", "Os", "Os", "Y", "Y", "Y"],
  "frac_coords": [[0.000, 0.500, 0.500], [0.869, 0.877, 0.385], [0.635, 0.046, 0.683], [0.869, 0.385, 0.877], [0.131, 0.123, 0.615], [0.635, 0.683, 0.046], [0.365, 0.954, 0.317], [0.131, 0.615, 0.123], [0.365, 0.317, 0.954], [0.500, 0.325, 0.675], [0.500, 0.675, 0.325], [0.268, 0.732, 0.732], [0.732, 0.268, 0.268], [0.000, 0.000, 0.000]],
  "e_form_kj_per_mol_atoms": -18
}


3.
{
  "formula": "YBOs2",
  "functional": "PBE",
  "state": "relaxed",
  "cell": [[-0.617, 4.173, 2.092], [-2.257, -2.114, 3.551], [4.785, 0.211, 6.290]],
  "species": ["Os", "Os", "Os", "Os", "Y", "Y", "B", "B"],
  "frac_coords": [[0.337, 0.625, 0.250], [0.413, 0.125, 0.250], [0.375, 0.587, 0.750], [0.875, 0.663, 0.750], [0.750, 0.250, 0.500], [0.000, 0.000, 0.000], [0.250, 0.750, 0.500], [0.500, 0.500, 0.000]],
  "e_form_kj_per_mol_atoms": 29
}


4.
{
  "formula": "YBOs",
  "functional": "PBE",
  "state": "relaxed",
  "cell": [[-0.747, -2.668, 4.639], [-0.441, -4.761, -1.553], [3.887, -0.733, -1.181]],
  "species": ["Y", "Y", "B", "B", "Os", "Os"],
  "frac_coords": [[0.636, 0.747, 0.023], [0.334, 0.355, 0.387], [0.087, 0.919, 0.146], [0.883, 0.183, 0.265], [0.050, 0.787, 0.663], [0.920, 0.315, 0.748]],
  "e_form_kj_per_mol_atoms": -34,
  "e_above_lowest_polymorph_ev_per_atom": 0.022
}


| no. | density of states at the Fermi level (states/eV/atom) |
| --- | --- |
| 1 | 1.43 |
| 2 | 0.61 |
| 3 | 0.52 |
| 4 | 0.65 |